Crystalline TaPCl2 at its relaxed geometry. Source: Alexandria, functional PBE.

abc: 2.9505 5.0663 4.5314
angles: 90.00 90.00 90.00
Last column: nearest neighbours and their distance in Å.
Element x y z (fractional)
Cl 0.0000 0.0000 0.0000  4 P 2.70, 6 Cl 2.93-2.95
Ta 0.0000 0.5000 0.5000  4 Cl 2.70, 4 P 2.93, 2 Ta 2.95
Cl 0.5000 0.5000 0.0000  4 Ta 2.70, 6 Cl 2.93-2.95
P 0.5000 0.0000 0.5000  4 Cl 2.70, 4 Ta 2.93, 2 P 2.95

## Properties
ΔE_f (raw) = 0.40 eV per atom
Density of states at the Fermi level = 3.08 states/eV/cell
Energy above the lowest structure with this stoichiometry = 1.0505 eV per atom